Here is a crystal of Sb2HRh relaxed with PBEsol from Alexandria via LeMat-Bulk. Energies are from meta-GGA SCAN.

a b c (Å): 6.3510 6.3510 6.3510
angles (deg): 90.00 90.00 90.00
Last column: nearest neighbours and their distance in Å.
Space group Fm-3m (No. 225)
Inequivalent atoms, fractional coordinates:
Sb1 0.2500 0.2500 0.2500 x8  4 H 2.75, 4 Rh 2.75
H1 0.0000 0.0000 0.0000 x4  8 Sb 2.75
Rh1 0.0000 0.0000 0.5000 x4  8 Sb 2.75

Properties
**DFT total energy**: -27.806 eV/atom